1.
VASP calculation (GGA-PBEsol) on a relaxed structure of MnCd2Pt.

abc: 4.5551 4.5551 4.5551
angles: 60.00 60.00 60.00
Each line ends with the local moment (μB).
Sites, in units of the cell vectors:
Cd (0.7500, 0.7500, 0.7500)  -0.02
Mn (0.5000, 0.5000, 0.5000)  3.73
Pt (0.2500, 0.2500, 0.2500)  0.10
Cd (0.0000, 0.0000, 0.0000)  -0.03

- DOS(E_F): 0.4773 states/eV per atom
- Energy of formation from the pure elements: -25 meV/atom
- Space group: F-43m
- Uncorrected energy: -4.8043 eV per atom
- Density: 11.80 g cm⁻³

2.
VASP calculation (GGA-PBEsol) on a relaxed structure of Cu7PSe6.

abc: 9.9084 9.9084 9.9084
angles: 90.00 90.00 90.00
Sites, in units of the cell vectors:
Cu (0.2247, 0.9282, 0.8958)
Se (0.0240, 0.0240, 0.0240)
P (0.7432, 0.2432, 0.2568)
Cu (0.7753, 0.4282, 0.6042)
Se (0.8986, 0.8723, 0.6288)
Se (0.2110, 0.7110, 0.7890)
Cu (0.5254, 0.7163, 0.0007)
Se (0.3739, 0.1261, 0.8739)
Se (0.9760, 0.5240, 0.4760)
Cu (0.9746, 0.2837, 0.5007)
Se (0.1277, 0.1288, 0.6014)
Se (0.6014, 0.1277, 0.1288)
Se (0.3723, 0.8712, 0.1014)
Cu (0.7247, 0.5718, 0.1042)
Se (0.4760, 0.9760, 0.5240)
Cu (0.1042, 0.7247, 0.5718)
Se (0.8712, 0.1014, 0.3723)
Se (0.8739, 0.3739, 0.1261)
Cu (0.9993, 0.0254, 0.7837)
Cu (0.5007, 0.9746, 0.2837)
Cu (0.3958, 0.2753, 0.0718)
Se (0.7890, 0.2110, 0.7110)
Se (0.3986, 0.6277, 0.3712)
Cu (0.9282, 0.8958, 0.2247)
Cu (0.2837, 0.5007, 0.9746)
Cu (0.2163, 0.4993, 0.4746)
Cu (0.0718, 0.3958, 0.2753)
Se (0.6288, 0.8986, 0.8723)
Cu (0.5718, 0.1042, 0.7247)
Se (0.1261, 0.8739, 0.3739)
Cu (0.2753, 0.0718, 0.3958)
Se (0.8723, 0.6288, 0.8986)
Cu (0.6582, 0.3418, 0.8418)
Cu (0.1582, 0.1582, 0.1582)
P (0.2432, 0.2568, 0.7432)
Cu (0.4746, 0.2163, 0.4993)
Cu (0.7163, 0.0007, 0.5254)
Cu (0.8958, 0.2247, 0.9282)
Cu (0.4993, 0.4746, 0.2163)
Cu (0.0007, 0.5254, 0.7163)
Cu (0.3418, 0.8418, 0.6582)
Cu (0.8418, 0.6582, 0.3418)
Se (0.1014, 0.3723, 0.8712)
Se (0.3712, 0.3986, 0.6277)
Cu (0.6042, 0.7753, 0.4282)
Cu (0.0254, 0.7837, 0.9993)
Se (0.1288, 0.6014, 0.1277)
Se (0.2890, 0.2890, 0.2890)
Se (0.5240, 0.4760, 0.9760)
Cu (0.4282, 0.6042, 0.7753)
Se (0.6261, 0.6261, 0.6261)
Se (0.7110, 0.7890, 0.2110)
P (0.7568, 0.7568, 0.7568)
Cu (0.7837, 0.9993, 0.0254)
P (0.2568, 0.7432, 0.2432)
Se (0.6277, 0.3712, 0.3986)

- DOS(E_F): 0.2844 states/eV per atom
- Space group: P2_13
- Uncorrected energy: -4.2812 eV per atom
- Density: 6.48 g cm⁻³

3.
VASP calculation (GGA-PBEsol) on a relaxed structure of ReSiOs2.

abc: 4.2757 4.2757 4.2757
angles: 60.00 60.00 60.00
Sites, in units of the cell vectors:
Os (0.0000, 0.0000, 0.0000)
Os (0.2500, 0.2500, 0.2500)
Si (0.7500, 0.7500, 0.7500)
Re (0.5000, 0.5000, 0.5000)

- DOS(E_F): 0.7473 states/eV per atom
- Space group: F-43m
- Uncorrected energy: -10.5968 eV per atom
- Density: 17.87 g cm⁻³

4.
VASP calculation (GGA-PBEsol) on a relaxed structure of SnP3Ru.

abc: 4.8263 4.8263 4.8263
angles: 90.00 90.00 90.00
Each line ends with the local moment (μB).
Sites, in units of the cell vectors:
Sn (0.0000, 0.0000, 0.0000)  -0.01
P (0.5000, 0.0000, 0.0000)  -0.11
P (0.0000, 0.0000, 0.5000)  -0.11
P (0.0000, 0.5000, 0.0000)  -0.11
Ru (0.5000, 0.5000, 0.5000)  1.71

- DOS(E_F): 1.6795 states/eV per atom
- Energy of formation from the pure elements: 1902 meV/atom
- Space group: Pm-3m
- Uncorrected energy: -4.4592 eV per atom
- Density: 4.62 g cm⁻³